Material: Dy8Ge5S
Method: DFT, PBE
State: optimized geometry

Output
Uncorrected formation energy   -961 meV/atom
Fermi-level density of states   22.15 states/eV per cell

CIF file:
```
data_Dy8Ge5S
_chemical_formula_sum 'Dy16 Ge10 S2'
_space_group_name_H-M_alt 'I -4'
_space_group_IT_number 82
_space_group_name_Hall 'I -4'
_cell_length_a 8.7299
_cell_length_b 8.7299
_cell_length_c 8.8404
_cell_angle_alpha 90.00
_cell_angle_beta 90.00
_cell_angle_gamma 90.00
loop_
_atom_site_label
_atom_site_type_symbol
_atom_site_fract_x
_atom_site_fract_y
_atom_site_fract_z
Dy1 Dy 0.0656 0.3110 0.4450
Dy2 Dy 0.0706 0.1849 0.8136
Ge1 Ge 0.0000 0.5000 0.7500
Ge2 Ge 0.1253 0.2508 0.1282
S1 S 0.0000 0.0000 0.5000
```